# V2NiS4 (PBE, relaxed)
data_V2NiS4
_chemical_formula_sum 'V4 Ni2 S8'
_cell_length_a 12.176
_cell_length_b 3.231
_cell_length_c 5.849
_cell_angle_alpha 90.00
_cell_angle_beta 115.87
_cell_angle_gamma 90.00
_symmetry_space_group_name_H-M 'C 1 2/m 1'
_symmetry_Int_Tables_number 12
loop_
_symmetry_equiv_pos_as_xyz
'x,y,z'
'-x,-y,-z'
'-x,y,-z'
'x,-y,z'
'x+1/2,y+1/2,z'
'-x+1/2,-y+1/2,-z'
'-x+1/2,y+1/2,-z'
'x+1/2,-y+1/2,z'
loop_
_atom_site_label
_atom_site_type_symbol
_atom_site_fract_x
_atom_site_fract_y
_atom_site_fract_z
V1 V 0.242 0.000 0.190
Ni1 Ni 0.000 0.500 0.500
S1 S 0.107 0.500 0.946
S2 S 0.139 0.000 0.480
# - formation energy (no corrections) (eV per atom) = -0.801
# - offset from the most stable computed form (kJ per mole of atoms) = 0.0